(1)
# Tl2HgPt2 PBE optimized geometry
# Final energy in eV/atom: -3.23
# Crystal system: tetragonal
data_Tl2HgPt2
_chemical_formula_sum 'Tl4 Hg2 Pt4'
_symmetry_space_group_name_H-M 'I 4/m m m'
_symmetry_Int_Tables_number 139
_symmetry_space_group_name_Hall '-I 4 2'
_cell_length_a 4.469
_cell_length_b 4.469
_cell_length_c 11.810
_cell_angle_alpha 90.00
_cell_angle_beta 90.00
_cell_angle_gamma 90.00
loop_
_atom_site_label
_atom_site_type_symbol
_atom_site_fract_x
_atom_site_fract_y
_atom_site_fract_z
Tl1 Tl 0.000 0.500 0.250
Hg1 Hg 0.000 0.000 0.000
Pt1 Pt 0.000 0.000 0.392

***

(2)
# LuZn2 PBE optimized geometry
# Final energy in eV/atom: -2.56
# Crystal system: orthorhombic
# Formation enthalpy at 0 K in eV/atom: -0.208
data_LuZn2
_chemical_formula_sum 'Lu4 Zn8'
_symmetry_space_group_name_H-M 'C m c m'
_symmetry_Int_Tables_number 63
_symmetry_space_group_name_Hall '-C 2c 2'
_cell_length_a 10.277
_cell_length_b 4.824
_cell_length_c 4.523
_cell_angle_alpha 90.00
_cell_angle_beta 90.00
_cell_angle_gamma 90.00
loop_
_atom_site_label
_atom_site_type_symbol
_atom_site_fract_x
_atom_site_fract_y
_atom_site_fract_z
Lu1 Lu 0.000 0.236 0.250
Zn1 Zn 0.189 0.319 0.750

***

(3)
# SrTa2Mo PBE optimized geometry
# Final energy in eV/atom: -8.04
# Crystal system: cubic
data_SrTa2Mo
_chemical_formula_sum 'Sr4 Ta8 Mo4'
_symmetry_space_group_name_H-M 'F -4 3 m'
_symmetry_Int_Tables_number 216
_symmetry_space_group_name_Hall 'F -4 2 3'
_cell_length_a 6.880
_cell_length_b 6.880
_cell_length_c 6.880
_cell_angle_alpha 90.00
_cell_angle_beta 90.00
_cell_angle_gamma 90.00
loop_
_atom_site_label
_atom_site_type_symbol
_atom_site_fract_x
_atom_site_fract_y
_atom_site_fract_z
Sr1 Sr 0.000 0.000 0.000
Ta1 Ta 0.000 0.000 0.500
Ta2 Ta 0.250 0.250 0.750
Mo1 Mo 0.250 0.250 0.250

***

(4)
# NaNi3S5 PBE optimized geometry
# Final energy in eV/atom: -4.60
# Crystal system: hexagonal
data_NaNi3S5
_chemical_formula_sum 'Na1 Ni3 S5'
_symmetry_space_group_name_H-M 'P 6/m m m'
_symmetry_Int_Tables_number 191
_symmetry_space_group_name_Hall '-P 6 2'
_cell_length_a 5.5605
_cell_length_b 5.5605
_cell_length_c 6.2989
_cell_angle_alpha 90.00
_cell_angle_beta 90.00
_cell_angle_gamma 120.00
loop_
_atom_site_label
_atom_site_type_symbol
_atom_site_fract_x
_atom_site_fract_y
_atom_site_fract_z
Na1 Na 0.0000 0.0000 0.0000
Ni1 Ni 0.0000 0.5000 0.5000
S1 S 0.0000 0.0000 0.5000
S2 S 0.3333 0.6667 0.2601

***

(5)
# Sc2AlAg PBE optimized geometry
# Final energy in eV/atom: -4.89
# Crystal system: cubic
data_Sc2AlAg
_chemical_formula_sum 'Sc8 Al4 Ag4'
_symmetry_space_group_name_H-M 'F -4 3 m'
_symmetry_Int_Tables_number 216
_symmetry_space_group_name_Hall 'F -4 2 3'
_cell_length_a 6.787
_cell_length_b 6.787
_cell_length_c 6.787
_cell_angle_alpha 90.00
_cell_angle_beta 90.00
_cell_angle_gamma 90.00
loop_
_atom_site_label
_atom_site_type_symbol
_atom_site_fract_x
_atom_site_fract_y
_atom_site_fract_z
Sc1 Sc 0.000 0.000 0.000
Sc2 Sc 0.250 0.250 0.250
Al1 Al 0.000 0.000 0.500
Ag1 Ag 0.250 0.250 0.750

***

(6)
# Li2AlGaOs2W2 PBE optimized geometry
# Final energy in eV/atom: -7.59
# Crystal system: tetragonal
data_Li2AlGaOs2W2
_chemical_formula_sum 'Li2 Al1 Ga1 Os2 W2'
_symmetry_space_group_name_H-M 'P -4 m 2'
_symmetry_Int_Tables_number 115
_cell_length_a 4.293
_cell_length_b 4.293
_cell_length_c 6.072
_cell_angle_alpha 90.00
_cell_angle_beta 90.00
_cell_angle_gamma 90.00
loop_
_symmetry_equiv_pos_as_xyz
'x,y,z'
'y,-x,-z'
'-x,-y,z'
'-y,x,-z'
'-x,y,z'
'-y,-x,-z'
'x,-y,z'
'y,x,-z'
loop_
_atom_site_label
_atom_site_type_symbol
_atom_site_fract_x
_atom_site_fract_y
_atom_site_fract_z
Li1 Li 0.000 0.500 0.249
Al1 Al 0.000 0.000 0.500
Ga1 Ga 0.500 0.500 0.000
Os1 Os 0.000 0.500 0.748
W1 W 0.000 0.000 0.000
W2 W 0.500 0.500 0.500

***

(7)
# ScFeAu2 PBE optimized geometry
# Final energy in eV/atom: -5.51
# Crystal system: cubic
# Formation enthalpy at 0 K in eV/atom: -0.219
data_ScFeAu2
_chemical_formula_sum 'Sc4 Fe4 Au8'
_symmetry_space_group_name_H-M 'F -4 3 m'
_symmetry_Int_Tables_number 216
_symmetry_space_group_name_Hall 'F -4 2 3'
_cell_length_a 6.434
_cell_length_b 6.434
_cell_length_c 6.434
_cell_angle_alpha 90.00
_cell_angle_beta 90.00
_cell_angle_gamma 90.00
loop_
_atom_site_label
_atom_site_type_symbol
_atom_site_fract_x
_atom_site_fract_y
_atom_site_fract_z
Sc1 Sc 0.000 0.000 0.000
Fe1 Fe 0.250 0.250 0.250
Au1 Au 0.000 0.000 0.500
Au2 Au 0.250 0.250 0.750

***

(8)
# Tm4Bi3Te PBE optimized geometry
# Final energy in eV/atom: -5.06
# Crystal system: orthorhombic
data_Tm4Bi3Te
_chemical_formula_sum 'Tm8 Bi6 Te2'
_symmetry_space_group_name_H-M 'C m m m'
_symmetry_Int_Tables_number 65
_symmetry_space_group_name_Hall '-C 2 2'
_cell_length_a 8.777
_cell_length_b 12.413
_cell_length_c 4.395
_cell_angle_alpha 90.00
_cell_angle_beta 90.00
_cell_angle_gamma 90.00
loop_
_atom_site_label
_atom_site_type_symbol
_atom_site_fract_x
_atom_site_fract_y
_atom_site_fract_z
Tm1 Tm 0.000 0.249 0.000
Tm2 Tm 0.247 0.000 0.500
Bi1 Bi 0.000 0.000 0.000
Bi2 Bi 0.250 0.250 0.500
Te1 Te 0.000 0.500 0.000